Be5Te3: optimized geometry, PBE.

The structure in CIF format:
```
data_Be5Te3
_cell_length_a 7.064
_cell_length_b 10.728
_cell_length_c 3.661
_cell_angle_alpha 90.00
_cell_angle_beta 90.00
_cell_angle_gamma 90.00
_space_group_name_H-M_alt 'C m m m'
_space_group_IT_number 65
_space_group_name_Hall '-C 2 2'
loop_
_atom_site_label
_atom_site_type_symbol
_atom_site_fract_x
_atom_site_fract_y
_atom_site_fract_z
Be1 Be 0.000 0.000 0.000
Be2 Be 0.236 0.000 0.500
Be3 Be 0.250 0.250 0.000
Te1 Te 0.000 0.187 0.500
Te2 Te 0.000 0.500 0.000
```

Computed properties:
Excess energy over the best structure of this formula in the dataset in meV/atom: 392.9
Total energy in eV per cell: -46.41
N(E_F) in states/eV per atom: 0.421

ScCuI: optimized geometry, PBE.

The structure in CIF format:
```
data_ScCuI
_cell_length_a 6.666
_cell_length_b 3.850
_cell_length_c 12.665
_cell_angle_alpha 90.00
_cell_angle_beta 100.39
_cell_angle_gamma 90.00
_space_group_name_H-M_alt 'C 1 2/m 1'
_space_group_IT_number 12
_space_group_name_Hall '-C 2y'
loop_
_atom_site_label
_atom_site_type_symbol
_atom_site_fract_x
_atom_site_fract_y
_atom_site_fract_z
Sc1 Sc 0.106 0.000 0.324
Cu1 Cu 0.183 0.000 0.548
I1 I 0.114 0.500 0.832
```

Computed properties:
Total energy in eV per cell: -53.84
N(E_F) in states/eV per atom: 0.623

LaNiPb: optimized geometry, PBE.

The structure in CIF format:
```
data_LaNiPb
_cell_length_a 4.739
_cell_length_b 4.640
_cell_length_c 7.002
_cell_angle_alpha 90.00
_cell_angle_beta 92.38
_cell_angle_gamma 90.00
_space_group_name_H-M_alt 'P 1 21/m 1'
_space_group_IT_number 11
_space_group_name_Hall '-P 2yb'
loop_
_atom_site_label
_atom_site_type_symbol
_atom_site_fract_x
_atom_site_fract_y
_atom_site_fract_z
La1 La 0.246 0.250 0.217
Ni1 Ni 0.306 0.750 0.503
Pb1 Pb 0.232 0.250 0.710
```

Computed properties:
Total energy in eV per cell: -31.32
N(E_F) in states/eV per atom: 1.011
Energy relative to the elements in eV per atom: -0.414

> The lowest N(E_F) belongs to which entry?

Be5Te3

> The highest N(E_F) belongs to which entry?

LaNiPb

> total energy of number 1 (Be5Te3)?

-46.41 eV per cell

> What is the formula in the second record?

ScCuI